# PBE-GGA La3Cu4P4O2, optimized geometry
data_La3Cu4P4O2
_cell_length_a 4.054
_cell_length_b 4.054
_cell_length_c 26.854
_cell_angle_alpha 90.00
_cell_angle_beta 90.00
_cell_angle_gamma 90.00
_space_group_name_H-M_alt 'I 4/m m m'
_space_group_IT_number 139
_space_group_name_Hall '-I 4 2'
loop_
_atom_site_label
_atom_site_type_symbol
_atom_site_fract_x
_atom_site_fract_y
_atom_site_fract_z
La1 La 0.000 0.000 0.000
La2 La 0.000 0.000 0.296
Cu1 Cu 0.000 0.500 0.094
P1 P 0.000 0.000 0.138
P2 P 0.000 0.000 0.458
O1 O 0.000 0.500 0.250
# Electronic total energy ... -6.26 eV/atom
# Magnetic moment ... 0.0 μB/f.u.
# ΔE_f (raw) ... -1.433 eV/atom
# Density ... 6.221 g/cm3

***

# PBE-GGA LaCuPO, optimized geometry
data_LaCuPO
_cell_length_a 4.054
_cell_length_b 4.054
_cell_length_c 8.344
_cell_angle_alpha 90.00
_cell_angle_beta 90.00
_cell_angle_gamma 90.00
_space_group_name_H-M_alt 'P 4/n m m'
_space_group_IT_number 129
loop_
_space_group_symop_operation_xyz
'x,y,z'
'-x,-y,-z'
'-y+1/2,x,z'
'y+1/2,-x,-z'
'-x+1/2,-y+1/2,z'
'x+1/2,y+1/2,-z'
'y,-x+1/2,z'
'-y,x+1/2,-z'
'x+1/2,-y,-z'
'-x+1/2,y,z'
'-y,-x,-z'
'y,x,z'
'-x,y+1/2,-z'
'x,-y+1/2,z'
'y+1/2,x+1/2,-z'
'-y+1/2,-x+1/2,z'
loop_
_atom_site_label
_atom_site_type_symbol
_atom_site_fract_x
_atom_site_fract_y
_atom_site_fract_z
La1 La 0.250 0.250 0.148
Cu1 Cu 0.250 0.750 0.500
P1 P 0.250 0.250 0.644
O1 O 0.250 0.750 0.000
# Electronic total energy ... -6.64 eV/atom
# Magnetic moment ... 0.0 μB/f.u.
# ΔE_f (raw) ... -1.790 eV/atom
# Density ... 6.041 g/cm3

***

# PBE-GGA LaPaCu2O6, optimized geometry
data_LaPaCu2O6
_cell_length_a 5.5967
_cell_length_b 5.5967
_cell_length_c 16.5894
_cell_angle_alpha 90.00
_cell_angle_beta 90.00
_cell_angle_gamma 120.00
_space_group_name_H-M_alt 'R -3'
_space_group_IT_number 148
_space_group_name_Hall '-R 3'
loop_
_atom_site_label
_atom_site_type_symbol
_atom_site_fract_x
_atom_site_fract_y
_atom_site_fract_z
La1 La 0.0000 0.0000 0.0000
Pa1 Pa 0.0000 0.0000 0.5000
Cu1 Cu 0.0000 0.0000 0.2407
O1 O 0.0077 0.6869 0.4224
# Electronic total energy ... -7.49 eV/atom
# Magnetic moment ... 2.1 μB/f.u.
# ΔE_f (raw) ... -2.255 eV/atom
# Density ... 6.565 g/cm3